[1]
## SrCdCo3 (PBE)

Data for an optimized crystal structure of SrCdCo3.

```
SrCdCo3
1.0
4.744 0.000 0.000
0.000 4.744 0.000
0.000 0.000 4.744
Sr Cd Co
1 1 3
Direct
0.000 0.000 0.000 Sr
0.500 0.500 0.500 Cd
0.000 0.000 0.500 Co
0.000 0.500 0.000 Co
0.500 0.000 0.000 Co
```

Properties
uncorrected energy	-14.03	eV per cell
DFT formation energy	1.977	eV per atom
SG	Pm-3m

***

[2]
## Cs2AgMoCl6 (PBE)

Data for an optimized crystal structure of Cs2AgMoCl6.

```
Cs2AgMoCl6
1.0
0.000 5.255 5.255
5.255 0.000 5.255
5.255 5.255 0.000
Cs Ag Mo Cl
2 1 1 6
Direct
0.250 0.250 0.250 Cs
0.750 0.750 0.750 Cs
0.000 0.000 0.000 Ag
0.500 0.500 0.500 Mo
0.264 0.264 0.736 Cl
0.264 0.736 0.264 Cl
0.264 0.736 0.736 Cl
0.736 0.264 0.264 Cl
0.736 0.264 0.736 Cl
0.736 0.736 0.264 Cl
```

Properties
uncorrected energy	-39.10	eV per cell
SG	Fm-3m
formation energy without anion corrections	-1263	meV/atom

***

[3]
## CePuFe (PBE)

Data for an optimized crystal structure of CePuFe.

```
CePuFe
1.0
3.552 0.000 0.000
0.970 5.459 0.000
0.844 2.067 6.026
Ce Pu Fe
2 2 2
Direct
0.196 0.276 0.450 Ce
0.804 0.724 0.550 Ce
0.108 0.719 0.944 Pu
0.892 0.281 0.056 Pu
0.481 0.800 0.199 Fe
0.519 0.200 0.801 Fe
```

Properties
uncorrected energy	-57.12	eV per cell
DFT formation energy	0.057	eV per atom
SG	P-1

***

Among the records above, which one has the highest uncorrected energy?
SrCdCo3

***

Which of these has the lowest uncorrected energy?
CePuFe

***

Repeat the third record exactly.
## CePuFe (PBE)

Data for an optimized crystal structure of CePuFe.

```
CePuFe
1.0
3.552 0.000 0.000
0.970 5.459 0.000
0.844 2.067 6.026
Ce Pu Fe
2 2 2
Direct
0.196 0.276 0.450 Ce
0.804 0.724 0.550 Ce
0.108 0.719 0.944 Pu
0.892 0.281 0.056 Pu
0.481 0.800 0.199 Fe
0.519 0.200 0.801 Fe
```

Properties
uncorrected energy	-57.12	eV per cell
DFT formation energy	0.057	eV per atom
SG	P-1

***

Repeat the first record exactly.
## SrCdCo3 (PBE)

Data for an optimized crystal structure of SrCdCo3.

```
SrCdCo3
1.0
4.744 0.000 0.000
0.000 4.744 0.000
0.000 0.000 4.744
Sr Cd Co
1 1 3
Direct
0.000 0.000 0.000 Sr
0.500 0.500 0.500 Cd
0.000 0.000 0.500 Co
0.000 0.500 0.000 Co
0.500 0.000 0.000 Co
```

Properties
uncorrected energy	-14.03	eV per cell
DFT formation energy	1.977	eV per atom
SG	Pm-3m